This record from the Alexandria database describes a geometry-optimized La3Tm4Al4 structure. The functional is PBE-GGA.

The structure in POSCAR format:
```
La3Tm4Al4
1.0
-2.5225 3.7572 8.2813
2.5225 -3.7572 8.2813
2.5225 3.7572 -8.2813
La Tm Al
3 4 4
Cartesian
0.0000 0.0000 0.0000 La
2.5225 0.0000 6.4470 La
0.0000 3.7572 1.8343 La
2.5225 1.6250 -2.9124 Tm
2.5225 1.6250 2.9124 Tm
0.0000 2.1321 5.3690 Tm
0.0000 2.1321 11.1937 Tm
0.0000 0.0000 3.2519 Al
2.5225 2.4010 0.0000 Al
0.0000 1.3561 8.2813 Al
0.0000 0.0000 13.3107 Al
```

symmetry = No. 71
size of the total moment = 0.0 μB per cell
final energy = -4.55 eV per atom
E_form = -0.22 eV/atom
calculated volume = 314 Å³/f.u.